# 1
VASP calculation (PBE) on crystalline CaCoTc2 at its relaxed geometry.

Unit cell a=3.6907 b=3.6907 c=4.7244 alpha=90.00 beta=90.00 gamma=90.00
Space group P4/mmm (No. 123)
Unique sites:
Ca (0.0000, 0.0000, 0.0000)
Co (0.5000, 0.5000, 0.0000)
Tc (0.0000, 0.5000, 0.5000)

Values from the calculation:
Uncorrected energy   -27.18 eV/f.u.
Formation enthalpy at 0 K   664 meV/atom
Polymorph energy (0 for the lowest one)   0.3425 eV per atom
Total magnetization   0.8 μB per formula unit

=====

# 2
VASP calculation (PBE) on crystalline CaCo2Tc at its relaxed geometry.

Unit cell a=8.2094 b=2.7828 c=5.8820 alpha=90.00 beta=97.56 gamma=90.00
Space group C2/m (No. 12)
Unique sites:
Ca (0.0000, 0.0000, 0.0000)
Co (0.2382, 0.0000, 0.6620)
Tc (0.0000, 0.5000, 0.5000)

Values from the calculation:
Uncorrected energy   -24.90 eV/f.u.
Formation enthalpy at 0 K   420 meV/atom
Polymorph energy (0 for the lowest one)   0.1233 eV per atom
Total magnetization   2.0 μB per formula unit

=====

# 3
VASP calculation (PBE) on crystalline Ca2Co2Tc at its relaxed geometry.

Unit cell a=6.2296 b=6.2296 c=4.7396 alpha=90.00 beta=90.00 gamma=90.00
Space group P4/mbm (No. 127)
Unique sites:
Ca (0.1835, 0.3165, 0.0000)
Co (0.1282, 0.6282, 0.5000)
Tc (0.0000, 0.0000, 0.5000)

Values from the calculation:
Uncorrected energy   -27.12 eV/f.u.
Formation enthalpy at 0 K   293 meV/atom
Total magnetization   1.1 μB per formula unit